Compound: LiCrF6
Source: the Alexandria database
Functional: PBE+U
Structure: optimized geometry

abc: 4.904 9.083 4.879
angles: 90.00 104.55 90.00
Atoms (fractional coordinates):
Li: 0.000 0.000 0.000
Li: 0.500 0.500 0.000
Cr: 0.000 0.500 0.500
Cr: 0.500 0.000 0.500
F: 0.218 0.364 0.725
F: 0.218 0.636 0.725
F: 0.234 0.500 0.273
F: 0.266 0.000 0.727
F: 0.282 0.136 0.275
F: 0.282 0.864 0.275
F: 0.718 0.136 0.725
F: 0.718 0.864 0.725
F: 0.734 0.000 0.273
F: 0.766 0.500 0.727
F: 0.782 0.364 0.275
F: 0.782 0.636 0.275

Calculated values
DFT total energy (eV/f.u.): -38.634
Mass density (g/cm³): 2.730